Entry 1:
The following is a DFT calculation (PBE) of a geometry-optimized TlCd2Ir structure.

Output
Energy = -46.00 eV for the cell shown
DOS(E_F) = 2.9 states/eV/f.u.
Energy of formation from the pure elements = 0.390 eV/atom
Crystal system = cubic
V = 326 Å³ per cell

Cell and atoms, written as CIF:
```
data_TlCd2Ir
_chemical_formula_sum 'Tl4 Cd8 Ir4'
_space_group_name_H-M_alt 'F m -3 m'
_space_group_IT_number 225
_space_group_name_Hall '-F 4 2 3'
_cell_length_a 6.885
_cell_length_b 6.885
_cell_length_c 6.885
_cell_angle_alpha 90.00
_cell_angle_beta 90.00
_cell_angle_gamma 90.00
loop_
_atom_site_label
_atom_site_type_symbol
_atom_site_fract_x
_atom_site_fract_y
_atom_site_fract_z
_atom_site_occupancy
Tl1 Tl 0.000 0.000 0.000 1
Cd1 Cd 0.250 0.250 0.250 1
Ir1 Ir 0.000 0.000 0.500 1
```

***

Entry 2:
The following is a DFT calculation (PBE) of a geometry-optimized TlCdIr2 structure.

Output
Energy = -37.65 eV for the cell shown
DOS(E_F) = 4.9 states/eV/f.u.
Energy of formation from the pure elements = 0.545 eV/atom
Crystal system = tetragonal
V = 143 Å³ per cell

Cell and atoms, written as CIF:
```
data_TlCdIr2
_chemical_formula_sum 'Tl2 Cd2 Ir4'
_space_group_name_H-M_alt 'I -4 m 2'
_space_group_IT_number 119
_space_group_name_Hall 'I -4 -2'
_cell_length_a 4.136
_cell_length_b 4.136
_cell_length_c 8.333
_cell_angle_alpha 90.00
_cell_angle_beta 90.00
_cell_angle_gamma 90.00
loop_
_atom_site_label
_atom_site_type_symbol
_atom_site_fract_x
_atom_site_fract_y
_atom_site_fract_z
_atom_site_occupancy
Tl1 Tl 0.000 0.000 0.000 1
Cd1 Cd 0.000 0.500 0.750 1
Ir1 Ir 0.000 0.000 0.500 1
Ir2 Ir 0.000 0.500 0.250 1
```

***

Question: The highest energy of formation from the pure elements belongs to which entry?
Answer: TlCdIr2

***

Question: Which formula does entry 2 have?
Answer: TlCdIr2

***

Question: Among the records above, which one has the lowest V?
Answer: TlCdIr2

***

Repeat the second record exactly.
The following is a DFT calculation (PBE) of a geometry-optimized TlCdIr2 structure.

Output
Energy = -37.65 eV for the cell shown
DOS(E_F) = 4.9 states/eV/f.u.
Energy of formation from the pure elements = 0.545 eV/atom
Crystal system = tetragonal
V = 143 Å³ per cell

Cell and atoms, written as CIF:
```
data_TlCdIr2
_chemical_formula_sum 'Tl2 Cd2 Ir4'
_space_group_name_H-M_alt 'I -4 m 2'
_space_group_IT_number 119
_space_group_name_Hall 'I -4 -2'
_cell_length_a 4.136
_cell_length_b 4.136
_cell_length_c 8.333
_cell_angle_alpha 90.00
_cell_angle_beta 90.00
_cell_angle_gamma 90.00
loop_
_atom_site_label
_atom_site_type_symbol
_atom_site_fract_x
_atom_site_fract_y
_atom_site_fract_z
_atom_site_occupancy
Tl1 Tl 0.000 0.000 0.000 1
Cd1 Cd 0.000 0.500 0.750 1
Ir1 Ir 0.000 0.000 0.500 1
Ir2 Ir 0.000 0.500 0.250 1
```